No. 1
The following is a DFT calculation (PBE) of crystalline Ca3HgSb at its relaxed geometry.

Properties
distance to the lowest polymorph of the same formula = 0.0 meV/atom
total energy = -2.417 eV/atom
E_form (uncorrected) = -331 meV/atom

POSCAR file:
```
Ca3HgSb
1.0
-2.915 3.798 3.462
-5.098 -2.636 -1.401
0.644 -3.678 4.578
Ca Hg Sb
3 1 1
Cartesian
-1.457 1.899 1.731
-2.549 -1.318 -0.701
0.322 -1.839 2.289
-3.685 -1.258 3.319
0.000 0.000 0.000
```


No. 2
The following is a DFT calculation (PBE) of crystalline CaHgSb2 at its relaxed geometry.

Properties
total energy = -2.915 eV/atom
E_form (uncorrected) = -278 meV/atom

POSCAR file:
```
CaHgSb2
1.0
-0.012 -3.167 -0.864
2.893 0.398 -1.499
5.302 -2.621 9.538
Sb Ca Hg
2 1 1
Cartesian
0.197 -0.098 0.355
2.454 -1.213 4.414
2.766 -2.040 1.203
5.417 -3.350 5.972
```


No. 3
The following is a DFT calculation (PBE) of crystalline Ca2HgSb2 at its relaxed geometry.

Properties
total energy = -3.080 eV/atom
E_form (uncorrected) = -570 meV/atom

POSCAR file:
```
Ca2HgSb2
1.0
-4.973 -1.918 2.365
1.272 -5.424 -1.723
0.649 -4.533 4.878
Ca Sb Hg
2 2 1
Cartesian
0.035 -6.814 1.738
-3.088 -5.061 3.782
-1.878 -7.971 3.967
-1.175 -3.904 1.553
0.000 0.000 0.000
```


No. 4
The following is a DFT calculation (PBE) of crystalline Ca4HgSb at its relaxed geometry.

Properties
distance to the lowest polymorph of the same formula = 55.1 meV/atom
total energy = -2.652 eV/atom
E_form (uncorrected) = -580 meV/atom

POSCAR file:
```
Ca4HgSb
1.0
7.397 0.000 0.000
0.000 7.390 -0.308
-3.698 -3.377 7.816
Ca Hg Sb
8 2 2
Cartesian
0.001 3.934 5.540
3.700 3.775 1.814
0.000 3.776 1.812
3.698 0.237 5.696
0.000 0.081 1.966
3.697 0.080 1.968
3.698 3.933 5.542
-0.001 0.238 5.695
1.849 -1.688 3.908
-1.849 2.007 3.754
1.850 1.848 -0.077
5.547 5.543 -0.231
```


No. 5
The following is a DFT calculation (PBE) of crystalline Ca4Hg3Sb at its relaxed geometry.

Properties
total energy = -2.305 eV/atom
E_form (uncorrected) = -676 meV/atom

POSCAR file:
```
Ca4Hg3Sb
1.0
-1.515 -1.664 -4.813
-1.271 -4.741 2.033
-5.891 5.766 2.803
Ca Hg Sb
4 3 1
Cartesian
-1.870 0.658 0.362
-3.263 -2.545 -1.027
-5.414 1.907 1.049
-6.806 -1.296 -0.339
-4.486 0.482 -1.683
-0.635 -2.370 1.016
-4.191 -1.120 1.706
-0.758 -0.832 -2.406
```


No. 6
The following is a DFT calculation (PBE) of crystalline CaHg3Sb3 at its relaxed geometry.

Properties
total energy = -2.034 eV/atom
E_form (uncorrected) = 148 meV/atom

POSCAR file:
```
CaHg3Sb3
1.0
-3.793 6.993 0.640
-4.320 -2.898 6.053
5.536 2.530 5.162
Hg Sb Ca
6 6 2
Cartesian
-5.137 1.323 4.860
-2.977 2.772 1.833
1.992 0.449 6.898
1.820 3.013 2.741
-0.776 -0.816 4.317
-0.077 6.510 3.062
-0.472 -0.908 7.121
1.688 0.541 4.094
2.255 5.394 4.192
-0.513 4.129 1.611
-5.005 3.796 3.507
-3.108 0.299 3.187
0.000 0.000 0.000
-1.289 3.313 5.928
```


No. 7
The following is a DFT calculation (PBE) of crystalline CaHgSb2 at its relaxed geometry.

Properties
total energy = -2.835 eV/atom
E_form (uncorrected) = -198 meV/atom

POSCAR file:
```
CaHgSb2
1.0
3.307 0.000 0.000
0.000 3.307 0.000
0.000 0.000 10.230
Ca Sb Hg
1 2 1
Cartesian
0.000 0.000 5.294
0.000 0.000 9.847
1.653 1.653 2.920
1.653 1.653 7.512
```


No. 8
The following is a DFT calculation (PBE) of crystalline CaHg2Sb2 at its relaxed geometry.

Properties
total energy = -2.284 eV/atom
E_form (uncorrected) = -114 meV/atom

POSCAR file:
```
CaHg2Sb2
1.0
5.048 0.000 0.000
0.000 5.048 0.000
2.524 2.524 5.871
Hg Ca Sb
2 1 2
Cartesian
2.524 2.524 1.347
5.048 5.048 4.524
0.000 0.000 0.000
5.048 2.524 2.935
2.524 5.048 2.935
```